--- a ---
## LiErTl4 (PBE)

Data for LiErTl4 after structural relaxation.

Symmetry: C2/m
Magnetic moment: 0.00 Bohr magnetons per cell

Lattice parameters (Å, degrees): 6.5402 6.5402 7.3095 108.85 108.85 32.49
Element x y z (fractional)
Li (0.0000, 0.0000, 0.0000)
Er (0.0000, 0.0000, 0.5000)
Tl (0.3377, 0.3377, 0.6749)
Tl (0.3411, 0.3411, 0.1538)
Tl (0.6589, 0.6589, 0.8462)
Tl (0.6623, 0.6623, 0.3251)


--- b ---
## LiErTl4 (PBE)

Data for LiErTl4 after structural relaxation.

Symmetry: P4/mmm
Magnetic moment: 0.00 Bohr magnetons per cell

Lattice parameters (Å, degrees): 4.6934 4.6934 7.6779 90.00 90.00 90.00
Element x y z (fractional)
Li (0.0000, 0.0000, 0.0000)
Er (0.5000, 0.5000, 0.5000)
Tl (0.0000, 0.5000, 0.2151)
Tl (0.0000, 0.5000, 0.7849)
Tl (0.5000, 0.0000, 0.2151)
Tl (0.5000, 0.0000, 0.7849)


Which of them is most stable, and which least? Most stable: a; least stable: b.


--- a ---
## LiEr2Tl3 (PBE)

Data for LiEr2Tl3 after structural relaxation.

Symmetry: P-3m1
Magnetic moment: 0.00 Bohr magnetons per cell

Lattice parameters (Å, degrees): 5.2118 5.2118 12.8765 90.00 90.00 120.00
Element x y z (fractional)
Li (0.3333, 0.6667, 0.1599)
Li (0.6667, 0.3333, 0.8401)
Er (0.0000, 0.0000, 0.0000)
Er (0.0000, 0.0000, 0.5000)
Er (0.3333, 0.6667, 0.6748)
Er (0.6667, 0.3333, 0.3252)
Tl (0.0000, 0.0000, 0.2447)
Tl (0.0000, 0.0000, 0.7553)
Tl (0.3333, 0.6667, 0.4097)
Tl (0.3333, 0.6667, 0.9193)
Tl (0.6667, 0.3333, 0.0807)
Tl (0.6667, 0.3333, 0.5903)


--- b ---
## LiEr2Tl3 (PBE)

Data for LiEr2Tl3 after structural relaxation.

Symmetry: Cmcm
Magnetic moment: 0.36 Bohr magnetons per cell

Lattice parameters (Å, degrees): 14.2157 14.2157 6.5816 90.00 90.00 166.11
Element x y z (fractional)
Li (0.1617, 0.8383, 0.7500)
Li (0.8383, 0.1617, 0.2500)
Er (0.3405, 0.6595, 0.7500)
Er (0.4959, 0.5041, 0.2500)
Er (0.5041, 0.4959, 0.7500)
Er (0.6595, 0.3405, 0.2500)
Tl (0.0811, 0.9189, 0.0049)
Tl (0.0811, 0.9189, 0.4951)
Tl (0.2572, 0.7428, 0.2500)
Tl (0.7428, 0.2572, 0.7500)
Tl (0.9189, 0.0811, 0.5049)
Tl (0.9189, 0.0811, 0.9951)


Which of them is most stable, and which least? Most stable: a; least stable: b.


--- a ---
## LiEr3Tl (PBE)

Data for LiEr3Tl after structural relaxation.

Symmetry: P2_1/c
Magnetic moment: 0.01 Bohr magnetons per cell

Lattice parameters (Å, degrees): 8.9287 6.6255 9.7210 90.00 105.80 90.00
Element x y z (fractional)
Li (0.0125, 0.2495, 0.0033)
Li (0.0125, 0.2505, 0.5033)
Li (0.9875, 0.7495, 0.4967)
Li (0.9875, 0.7505, 0.9967)
Er (0.2037, 0.5010, 0.3008)
Er (0.2039, 0.5012, 0.8015)
Er (0.2039, 0.9988, 0.3015)
Er (0.2037, 0.9990, 0.8008)
Er (0.4276, 0.2496, 0.1068)
Er (0.4276, 0.2504, 0.6068)
Er (0.5724, 0.7496, 0.3932)
Er (0.5724, 0.7504, 0.8932)
Er (0.7963, 0.0010, 0.1992)
Er (0.7961, 0.0012, 0.6985)
Er (0.7961, 0.4988, 0.1985)
Er (0.7963, 0.4990, 0.6992)
Tl (0.3520, 0.7502, 0.0881)
Tl (0.3520, 0.7498, 0.5881)
Tl (0.6480, 0.2502, 0.4119)
Tl (0.6480, 0.2498, 0.9119)


--- b ---
## LiEr3Tl (PBE)

Data for LiEr3Tl after structural relaxation.

Symmetry: Cmcm
Magnetic moment: 0.00 Bohr magnetons per cell

Lattice parameters (Å, degrees): 10.8476 10.8476 5.0456 90.00 90.00 153.17
Element x y z (fractional)
Li (0.1531, 0.8469, 0.7500)
Li (0.8469, 0.1531, 0.2500)
Er (0.0557, 0.9443, 0.2500)
Er (0.2490, 0.7510, 0.2500)
Er (0.4395, 0.5605, 0.2500)
Er (0.5605, 0.4395, 0.7500)
Er (0.7510, 0.2490, 0.7500)
Er (0.9443, 0.0557, 0.7500)
Tl (0.3419, 0.6581, 0.7500)
Tl (0.6581, 0.3419, 0.2500)


Which of them is most stable, and which least? Most stable: b; least stable: a.


--- a ---
## LiYEr (PBE)

Data for LiYEr after structural relaxation.

Symmetry: I4mm
Magnetic moment: 0.01 Bohr magnetons per cell

Lattice parameters (Å, degrees): 6.7781 6.7781 6.7781 148.99 148.99 44.42
Element x y z (fractional)
Li (0.0000, 0.0000, 0.0000)
Y (0.3439, 0.3439, 0.0000)
Er (0.6520, 0.6520, 0.0000)


--- b ---
## LiYEr (PBE)

Data for LiYEr after structural relaxation.

Symmetry: C2/m
Magnetic moment: 0.47 Bohr magnetons per cell

Lattice parameters (Å, degrees): 3.5084 3.5084 16.4216 96.09 96.09 60.05
Element x y z (fractional)
Li (0.1437, 0.1437, 0.4292)
Li (0.8563, 0.8563, 0.5708)
Y (0.3629, 0.3629, 0.0906)
Y (0.6371, 0.6371, 0.9094)
Er (0.2465, 0.2465, 0.7363)
Er (0.7535, 0.7535, 0.2637)


--- c ---
## LiYEr (PBE)

Data for LiYEr after structural relaxation.

Symmetry: P4/nmm
Magnetic moment: 0.01 Bohr magnetons per cell

Lattice parameters (Å, degrees): 3.5913 3.5913 12.7500 90.00 90.00 90.00
Element x y z (fractional)
Li (0.2500, 0.2500, 0.0512)
Li (0.7500, 0.7500, 0.9488)
Y (0.2500, 0.2500, 0.7822)
Y (0.7500, 0.7500, 0.2178)
Er (0.2500, 0.2500, 0.4042)
Er (0.7500, 0.7500, 0.5958)


Which of them is most stable, and which least? Most stable: c; least stable: a.


--- a ---
## LiErZn (PBE)

Data for LiErZn after structural relaxation.

Symmetry: P-6m2
Magnetic moment: 0.00 Bohr magnetons per cell

Lattice parameters (Å, degrees): 4.7240 4.7240 3.1691 90.00 90.00 120.00
Element x y z (fractional)
Li (0.0000, 0.0000, 0.0000)
Er (0.6667, 0.3333, 0.5000)
Zn (0.3333, 0.6667, 0.0000)


--- b ---
## LiErZn (PBE)

Data for LiErZn after structural relaxation.

Symmetry: P-1
Magnetic moment: 0.00 Bohr magnetons per cell

Lattice parameters (Å, degrees): 5.3838 5.5264 5.5300 62.34 61.07 61.19
Element x y z (fractional)
Li (0.0000, 0.0000, 0.0000)
Li (0.5000, 0.0000, 0.0000)
Er (0.1289, 0.6220, 0.6227)
Er (0.8711, 0.3780, 0.3773)
Zn (0.5000, 0.0000, 0.5000)
Zn (0.5000, 0.5000, 0.0000)


Which of them is most stable, and which least? Most stable: b; least stable: a.


--- a ---
## LiErZn (PBE)

Data for LiErZn after structural relaxation.

Symmetry: I4mm
Magnetic moment: 0.06 Bohr magnetons per cell

Lattice parameters (Å, degrees): 5.3693 5.3693 5.3693 140.66 140.66 56.85
Element x y z (fractional)
Li (0.0000, 0.0000, 0.0000)
Er (0.3075, 0.3075, 0.0000)
Zn (0.6356, 0.6356, 0.0000)


--- b ---
## LiErZn (PBE)

Data for LiErZn after structural relaxation.

Symmetry: P2_1/m
Magnetic moment: 0.02 Bohr magnetons per cell

Lattice parameters (Å, degrees): 3.3862 3.3878 11.0314 90.00 90.21 90.00
Element x y z (fractional)
Li (0.2481, 0.2500, 0.0792)
Li (0.7519, 0.7500, 0.9208)
Er (0.2490, 0.2500, 0.3805)
Er (0.7510, 0.7500, 0.6195)
Zn (0.2528, 0.2500, 0.7924)
Zn (0.7472, 0.7500, 0.2076)


Which of them is most stable, and which least? Most stable: b; least stable: a.


--- a ---
## LiErZn2 (PBE)

Data for LiErZn2 after structural relaxation.

Symmetry: Fm-3m
Magnetic moment: 0.00 Bohr magnetons per cell

Lattice parameters (Å, degrees): 4.7409 4.7409 4.7409 60.00 60.00 60.00
Element x y z (fractional)
Li (0.0000, 0.0000, 0.0000)
Er (0.5000, 0.5000, 0.5000)
Zn (0.2500, 0.2500, 0.2500)
Zn (0.7500, 0.7500, 0.7500)


--- b ---
## LiErZn2 (PBE)

Data for LiErZn2 after structural relaxation.

Symmetry: P4/mmm
Magnetic moment: 0.00 Bohr magnetons per cell

Lattice parameters (Å, degrees): 3.3118 3.3118 6.8299 90.00 90.00 90.00
Element x y z (fractional)
Li (0.0000, 0.0000, 0.0000)
Er (0.0000, 0.0000, 0.5000)
Zn (0.5000, 0.5000, 0.2116)
Zn (0.5000, 0.5000, 0.7884)


Which of them is most stable, and which least? Most stable: a; least stable: b.


--- a ---
## LiEr2Zn (PBE)

Data for LiEr2Zn after structural relaxation.

Symmetry: P4/mmm
Magnetic moment: 0.00 Bohr magnetons per cell

Lattice parameters (Å, degrees): 5.0380 5.0380 3.6158 90.00 90.00 90.00
Element x y z (fractional)
Li (0.0000, 0.0000, 0.0000)
Er (0.0000, 0.5000, 0.5000)
Er (0.5000, 0.0000, 0.5000)
Zn (0.5000, 0.5000, 0.0000)


--- b ---
## LiEr2Zn (PBE)

Data for LiEr2Zn after structural relaxation.

Symmetry: R-3m
Magnetic moment: 0.00 Bohr magnetons per cell

Lattice parameters (Å, degrees): 10.1478 10.1478 10.1478 19.59 19.59 19.59
Element x y z (fractional)
Li (0.0000, 0.0000, 0.0000)
Er (0.2414, 0.2414, 0.2414)
Er (0.7586, 0.7586, 0.7586)
Zn (0.5000, 0.5000, 0.5000)


--- c ---
## LiEr2Zn (PBE)

Data for LiEr2Zn after structural relaxation.

Symmetry: Fm-3m
Magnetic moment: 0.00 Bohr magnetons per cell

Lattice parameters (Å, degrees): 5.0566 5.0566 5.0566 60.00 60.00 60.00
Element x y z (fractional)
Li (0.0000, 0.0000, 0.0000)
Er (0.2500, 0.2500, 0.2500)
Er (0.7500, 0.7500, 0.7500)
Zn (0.5000, 0.5000, 0.5000)


Which of them is most stable, and which least? Most stable: a; least stable: b.


--- a ---
## LiErZn4 (PBE)

Data for LiErZn4 after structural relaxation.

Symmetry: F-43m
Magnetic moment: 0.00 Bohr magnetons per cell

Lattice parameters (Å, degrees): 5.2953 5.2953 5.2953 60.00 60.00 60.00
Element x y z (fractional)
Li (0.0000, 0.0000, 0.0000)
Er (0.2500, 0.2500, 0.2500)
Zn (0.1239, 0.6254, 0.6254)
Zn (0.6254, 0.1239, 0.6254)
Zn (0.6254, 0.6254, 0.1239)
Zn (0.6254, 0.6254, 0.6254)


--- b ---
## LiErZn4 (PBE)

Data for LiErZn4 after structural relaxation.

Symmetry: P6/mmm
Magnetic moment: 0.00 Bohr magnetons per cell

Lattice parameters (Å, degrees): 4.3763 4.3763 6.3669 90.00 90.00 120.00
Element x y z (fractional)
Li (0.0000, 0.0000, 0.0000)
Er (0.0000, 0.0000, 0.5000)
Zn (0.3333, 0.6667, 0.2174)
Zn (0.3333, 0.6667, 0.7826)
Zn (0.6667, 0.3333, 0.2174)
Zn (0.6667, 0.3333, 0.7826)


Which of them is most stable, and which least? Most stable: b; least stable: a.


--- a ---
## ErLu3 (PBE)

Data for ErLu3 after structural relaxation.

Symmetry: I4/mmm
Magnetic moment: 0.00 Bohr magnetons per cell

Lattice parameters (Å, degrees): 6.0024 6.0024 6.0024 131.85 131.85 70.47
Element x y z (fractional)
Er (0.0000, 0.0000, 0.0000)
Lu (0.2500, 0.7500, 0.5000)
Lu (0.5000, 0.5000, 0.0000)
Lu (0.7500, 0.2500, 0.5000)


--- b ---
## ErLu3 (PBE)

Data for ErLu3 after structural relaxation.

Symmetry: P6_3/mmc
Magnetic moment: 0.02 Bohr magnetons per cell

Lattice parameters (Å, degrees): 7.0633 7.0633 5.4879 90.00 90.00 120.00
Element x y z (fractional)
Er (0.3333, 0.6667, 0.2500)
Er (0.6667, 0.3333, 0.7500)
Lu (0.1664, 0.3329, 0.7500)
Lu (0.1664, 0.8336, 0.7500)
Lu (0.3329, 0.1664, 0.2500)
Lu (0.6671, 0.8336, 0.7500)
Lu (0.8336, 0.1664, 0.2500)
Lu (0.8336, 0.6671, 0.2500)


Which of them is most stable, and which least? Most stable: b; least stable: a.


--- a ---
## ErLu3 (PBE)

Data for ErLu3 after structural relaxation.

Symmetry: Pmm2
Magnetic moment: 0.00 Bohr magnetons per cell

Lattice parameters (Å, degrees): 3.5315 5.4815 6.1149 90.00 90.00 90.00
Element x y z (fractional)
Er (0.0000, 0.0000, 0.0000)
Lu (0.0000, 0.5000, 0.6656)
Lu (0.5000, 0.0000, 0.4992)
Lu (0.5000, 0.5000, 0.1663)


--- b ---
## ErLu3 (PBE)

Data for ErLu3 after structural relaxation.

Symmetry: Pm-3m
Magnetic moment: 0.00 Bohr magnetons per cell

Lattice parameters (Å, degrees): 4.8975 4.8975 4.8975 90.00 90.00 90.00
Element x y z (fractional)
Er (0.0000, 0.0000, 0.0000)
Lu (0.0000, 0.5000, 0.5000)
Lu (0.5000, 0.0000, 0.5000)
Lu (0.5000, 0.5000, 0.0000)


--- c ---
## ErLu3 (PBE)

Data for ErLu3 after structural relaxation.

Symmetry: Fm-3m
Magnetic moment: 0.01 Bohr magnetons per cell

Lattice parameters (Å, degrees): 5.5345 5.5345 5.5345 60.00 60.00 60.00
Element x y z (fractional)
Er (0.0000, 0.0000, 0.0000)
Lu (0.2500, 0.2500, 0.2500)
Lu (0.5000, 0.5000, 0.5000)
Lu (0.7500, 0.7500, 0.7500)


Which of them is most stable, and which least? Most stable: a; least stable: c.